# 1
# PBE-GGA Dy2AgBiO6, relaxed
# - space-group type = R3
# - raw formation energy (eV/atom) = -2.066
data_Dy2AgBiO6
_chemical_formula_sum 'Dy2 Ag1 Bi1 O6'
_cell_length_a 6.2062
_cell_length_b 6.2062
_cell_length_c 6.2062
_cell_angle_alpha 55.96
_cell_angle_beta 55.96
_cell_angle_gamma 55.96
_symmetry_space_group_name_H-M 'P 1'
_symmetry_Int_Tables_number 1
loop_
_symmetry_equiv_pos_as_xyz
'x,y,z'
loop_
_atom_site_label
_atom_site_type_symbol
_atom_site_fract_x
_atom_site_fract_y
_atom_site_fract_z
Dy1 Dy 0.0000 0.0000 0.0000
Dy2 Dy 0.4903 0.4903 0.4903
Ag1 Ag 0.2502 0.2502 0.2502
Bi1 Bi 0.7956 0.7956 0.7956
O1 O 0.0664 0.4141 0.7206
O2 O 0.1853 0.8527 0.6337
O3 O 0.4141 0.7206 0.0664
O4 O 0.6337 0.1853 0.8527
O5 O 0.7206 0.0664 0.4141
O6 O 0.8527 0.6337 0.1853

# 2
# PBE-GGA PrDyAgBi, relaxed
# - N(E_F) (states/eV per cell) = 4.16
# - space-group type = F-43m
# - calculated formation energy (eV/atom) = -0.448
data_PrDyAgBi
_chemical_formula_sum 'Pr1 Dy1 Ag1 Bi1'
_cell_length_a 5.3941
_cell_length_b 5.3941
_cell_length_c 5.3941
_cell_angle_alpha 60.00
_cell_angle_beta 60.00
_cell_angle_gamma 60.00
_symmetry_space_group_name_H-M 'P 1'
_symmetry_Int_Tables_number 1
loop_
_symmetry_equiv_pos_as_xyz
'x,y,z'
loop_
_atom_site_label
_atom_site_type_symbol
_atom_site_fract_x
_atom_site_fract_y
_atom_site_fract_z
Pr1 Pr 0.0000 0.0000 0.0000
Dy1 Dy 0.5000 0.5000 0.5000
Ag1 Ag 0.7500 0.7500 0.7500
Bi1 Bi 0.2500 0.2500 0.2500

# 3
# PBE-GGA DyPuAgBi, relaxed
# - N(E_F) (states/eV per cell) = 10.62
# - space-group type = F-43m
# - calculated formation energy (eV/atom) = -0.291
data_DyPuAgBi
_chemical_formula_sum 'Dy1 Pu1 Ag1 Bi1'
_cell_length_a 5.3355
_cell_length_b 5.3355
_cell_length_c 5.3355
_cell_angle_alpha 60.00
_cell_angle_beta 60.00
_cell_angle_gamma 60.00
_symmetry_space_group_name_H-M 'P 1'
_symmetry_Int_Tables_number 1
loop_
_symmetry_equiv_pos_as_xyz
'x,y,z'
loop_
_atom_site_label
_atom_site_type_symbol
_atom_site_fract_x
_atom_site_fract_y
_atom_site_fract_z
Dy1 Dy 0.0000 0.0000 0.0000
Pu1 Pu 0.5000 0.5000 0.5000
Ag1 Ag 0.2500 0.2500 0.2500
Bi1 Bi 0.7500 0.7500 0.7500